No. 1
PuUNiPd: optimized geometry, PBE.

Computed properties:
Calculated formation energy, eV/atom: -0.358
Excess energy over the best structure of this formula in the dataset, meV/atom: 0
SG: F-43m (216)
N(E_F), states/eV/cell: 4.34
Total magnetization, μB/f.u.: 6.046

Cell lengths 4.6077, 4.6077, 4.6077 Å; angles 60.00, 60.00, 60.00 degrees
Closest atoms and distances in Å follow each position.
Sites, in units of the cell vectors:
Pu (0.0000, 0.0000, 0.0000)  4 Pd 2.82, 4 U 2.82
Ni (0.5000, 0.5000, 0.5000)  4 U 2.82, 4 Pd 2.82
Pd (0.2500, 0.2500, 0.2500)  4 Ni 2.82, 4 Pu 2.82
U (0.7500, 0.7500, 0.7500)  4 Ni 2.82, 4 Pu 2.82

***

No. 2
PuUNiPd: optimized geometry, PBE.

Computed properties:
Calculated formation energy, eV/atom: -0.337
Excess energy over the best structure of this formula in the dataset, meV/atom: 21
SG: F-43m (216)
N(E_F), states/eV/cell: 4.98
Total magnetization, μB/f.u.: 6.047

Cell lengths 4.6190, 4.6190, 4.6190 Å; angles 60.00, 60.00, 60.00 degrees
Closest atoms and distances in Å follow each position.
Sites, in units of the cell vectors:
U (0.0000, 0.0000, 0.0000)  4 Pd 2.83, 4 Pu 2.83
Pd (0.7500, 0.7500, 0.7500)  4 Ni 2.83, 4 U 2.83
Pu (0.2500, 0.2500, 0.2500)  4 Ni 2.83, 4 U 2.83
Ni (0.5000, 0.5000, 0.5000)  4 Pd 2.83, 4 Pu 2.83

***

No. 3
PuZnNiPd: optimized geometry, PBE.

Computed properties:
Calculated formation energy, eV/atom: -0.200
SG: F-43m (216)
N(E_F), states/eV/cell: 9.87
Total magnetization, μB/f.u.: 4.834

Cell lengths 4.6236, 4.6236, 4.6236 Å; angles 60.00, 60.00, 60.00 degrees
Closest atoms and distances in Å follow each position.
Sites, in units of the cell vectors:
Pd (0.5000, 0.5000, 0.5000)  4 Zn 2.83, 4 Pu 2.83
Pu (0.7500, 0.7500, 0.7500)  4 Ni 2.83, 4 Pd 2.83
Ni (0.0000, 0.0000, 0.0000)  4 Pu 2.83, 4 Zn 2.83
Zn (0.2500, 0.2500, 0.2500)  4 Ni 2.83, 4 Pd 2.83

***

No. 4
Rb2NiPd2: optimized geometry, PBE.

Computed properties:
Calculated formation energy, eV/atom: 0.341
SG: P4/mbm (127)
N(E_F), states/eV/cell: 13.43
Total magnetization, μB/f.u.: 0.838

Cell lengths 6.6494, 6.6494, 5.5832 Å; angles 90.00, 90.00, 90.00 degrees
Closest atoms and distances in Å follow each position.
Sites, in units of the cell vectors:
Rb (0.1816, 0.6816, 0.5000)  6 Pd 3.24-3.54, 5 Rb 3.42-3.45
Pd (0.8566, 0.6434, 0.0000)  2 Ni 2.56, 1 Pd 2.70
Rb (0.6816, 0.8184, 0.5000)  6 Pd 3.24-3.54, 5 Rb 3.42-3.45
Ni (0.0000, 0.0000, 0.0000)  4 Pd 2.56
Pd (0.6434, 0.1434, 0.0000)  2 Ni 2.56, 1 Pd 2.70
Rb (0.8184, 0.3184, 0.5000)  6 Pd 3.24-3.54, 5 Rb 3.42-3.45
Ni (0.5000, 0.5000, 0.0000)  4 Pd 2.56
Rb (0.3184, 0.1816, 0.5000)  6 Pd 3.24-3.54, 5 Rb 3.42-3.45
Pd (0.3566, 0.8566, 0.0000)  2 Ni 2.56, 1 Pd 2.70
Pd (0.1434, 0.3566, 0.0000)  2 Ni 2.56, 1 Pd 2.70

***

No. 5
RbNi2Pd2: optimized geometry, PBE.

Computed properties:
Calculated formation energy, eV/atom: 0.455
Excess energy over the best structure of this formula in the dataset, meV/atom: 82
SG: I4/mmm (139)
N(E_F), states/eV/cell: 8.97
Total magnetization, μB/f.u.: 1.946

Cell lengths 4.3504, 4.3504, 5.9346 Å; angles 68.50, 68.50, 90.00 degrees
Closest atoms and distances in Å follow each position.
Sites, in units of the cell vectors:
Rb (0.0000, 0.0000, 0.0000)  8 Ni 3.30, 8 Pd 3.34
Pd (0.7500, 0.2500, 0.5000)  4 Ni 2.55
Ni (0.6185, 0.6185, 0.7630)  1 Ni 2.41, 4 Pd 2.55
Ni (0.3815, 0.3815, 0.2370)  1 Ni 2.41, 4 Pd 2.55
Pd (0.2500, 0.7500, 0.5000)  4 Ni 2.55

***

No. 6
RbNiPd3: optimized geometry, PBE.

Computed properties:
Calculated formation energy, eV/atom: 1.898
Excess energy over the best structure of this formula in the dataset, meV/atom: 1395
SG: Pm-3m (221)
N(E_F), states/eV/cell: 11.22
Total magnetization, μB/f.u.: 0.793

Cell lengths 5.1132, 5.1132, 5.1132 Å; angles 90.00, 90.00, 90.00 degrees
Closest atoms and distances in Å follow each position.
Sites, in units of the cell vectors:
Rb (0.0000, 0.0000, 0.0000)  6 Pd 2.56
Pd (0.5000, 0.0000, 0.0000)  2 Rb 2.56
Ni (0.5000, 0.5000, 0.5000)  12 Pd 3.62
Pd (0.0000, 0.0000, 0.5000)  2 Rb 2.56
Pd (0.0000, 0.5000, 0.0000)  2 Rb 2.56

***

No. 7
RbNi2Pd2: optimized geometry, PBE.

Computed properties:
Calculated formation energy, eV/atom: 0.373
Excess energy over the best structure of this formula in the dataset, meV/atom: 0
SG: P4/mbm (127)
N(E_F), states/eV/cell: 26.58
Total magnetization, μB/f.u.: 1.578

Cell lengths 7.9077, 7.9077, 2.7703 Å; angles 90.00, 90.00, 90.00 degrees
Closest atoms and distances in Å follow each position.
Sites, in units of the cell vectors:
Ni (0.3884, 0.8884, 0.0000)  3 Ni 2.50-2.77, 6 Pd 2.69-2.77
Ni (0.8884, 0.6116, 0.0000)  3 Ni 2.50-2.77, 6 Pd 2.69-2.77
Ni (0.1116, 0.3884, 0.0000)  3 Ni 2.50-2.77, 6 Pd 2.69-2.77
Pd (0.1737, 0.6737, 0.5000)  6 Ni 2.69-2.77, 2 Pd 2.77
Rb (0.0000, 0.0000, 0.0000)  2 Rb 2.77
Pd (0.3263, 0.1737, 0.5000)  6 Ni 2.69-2.77, 2 Pd 2.77
Pd (0.8263, 0.3263, 0.5000)  6 Ni 2.69-2.77, 2 Pd 2.77
Pd (0.6737, 0.8263, 0.5000)  6 Ni 2.69-2.77, 2 Pd 2.77
Ni (0.6116, 0.1116, 0.0000)  3 Ni 2.50-2.77, 6 Pd 2.69-2.77
Rb (0.5000, 0.5000, 0.0000)  2 Rb 2.77

***

No. 8
RbNiPd3: optimized geometry, PBE.

Computed properties:
Calculated formation energy, eV/atom: 0.503
Excess energy over the best structure of this formula in the dataset, meV/atom: 0
SG: Pm-3m (221)
N(E_F), states/eV/cell: 9.33
Total magnetization, μB/f.u.: 0.686

Cell lengths 4.7917, 4.7917, 4.7917 Å; angles 90.00, 90.00, 90.00 degrees
Closest atoms and distances in Å follow each position.
Sites, in units of the cell vectors:
Pd (0.0000, 0.5000, 0.0000)  2 Ni 2.40
Ni (0.0000, 0.0000, 0.0000)  6 Pd 2.40
Rb (0.5000, 0.5000, 0.5000)  12 Pd 3.39
Pd (0.5000, 0.0000, 0.0000)  2 Ni 2.40
Pd (0.0000, 0.0000, 0.5000)  2 Ni 2.40

***

- What is the total magnetization in the fifth record?
  1.946 μB/f.u.

***

- What is the calculated formation energy in the seventh record?
  0.373 eV/atom

***

- Look up the calculated formation energy of the second one.
  -0.337 eV/atom